Entry from the Alexandria database: a relaxed HfTaZnO6 crystal (GGA-PBE).

Results
**Energy relative to the elements, uncorrected**: -2.468 eV/atom
**Total magnetization**: 0.80 μB/f.u.

Unit cell a=4.8321 b=4.8321 c=9.4360 alpha=90.00 beta=90.00 gamma=90.00
With the nearest neighbours (Å) after each atom.
Fractional coordinates of all 18 atoms:
Hf  0.0000  0.0000  0.0000  6 O 2.08-2.10
Hf  0.5000  0.5000  0.5000  6 O 2.08-2.10
Ta  0.0000  0.0000  0.6679  6 O 1.98-2.01
Ta  0.5000  0.5000  0.1679  6 O 1.98-2.01
Zn  0.0000  0.0000  0.3325  6 O 2.11-2.14
Zn  0.5000  0.5000  0.8325  6 O 2.11-2.14
O  0.1912  0.1912  0.8259  1 Ta 1.98, 1 Hf 2.10, 1 Zn 2.11
O  0.1958  0.1958  0.5088  1 Ta 2.01, 1 Hf 2.08, 1 Zn 2.13
O  0.2061  0.2061  0.1615  1 Ta 2.01, 1 Hf 2.08, 1 Zn 2.14
O  0.2939  0.7061  0.6615  1 Ta 2.01, 1 Hf 2.08, 1 Zn 2.14
O  0.3042  0.6958  0.0088  1 Ta 2.01, 1 Hf 2.08, 1 Zn 2.13
O  0.3088  0.6912  0.3259  1 Ta 1.98, 1 Hf 2.10, 1 Zn 2.11
O  0.6912  0.3088  0.3259  1 Ta 1.98, 1 Hf 2.10, 1 Zn 2.11
O  0.6958  0.3042  0.0088  1 Ta 2.01, 1 Hf 2.08, 1 Zn 2.13
O  0.7061  0.2939  0.6615  1 Ta 2.01, 1 Hf 2.08, 1 Zn 2.14
O  0.7939  0.7939  0.1615  1 Ta 2.01, 1 Hf 2.08, 1 Zn 2.14
O  0.8042  0.8042  0.5088  1 Ta 2.01, 1 Hf 2.08, 1 Zn 2.13
O  0.8088  0.8088  0.8259  1 Ta 1.98, 1 Hf 2.10, 1 Zn 2.11

=====

Entry from the Alexandria database: a relaxed HfZr2TaO crystal (GGA-PBE).

Results
**Energy relative to the elements, uncorrected**: -0.996 eV/atom
**Distance to the lowest polymorph of the same formula**: 0 meV per atom
**Total magnetization**: 0.00 μB/f.u.

Unit cell a=4.5427 b=4.5427 c=4.3696 alpha=90.00 beta=90.00 gamma=90.00
With the nearest neighbours (Å) after each atom.
Fractional coordinates of all 5 atoms:
Hf  0.0000  0.0000  0.0000  2 O 2.18
Zr  0.0000  0.5000  0.5000  2 O 2.27
Zr  0.5000  0.0000  0.5000  2 O 2.27
Ta  0.5000  0.5000  0.0000  8 Zr 3.15, 4 Hf 3.21
O  0.0000  0.0000  0.5000  2 Hf 2.18, 4 Zr 2.27

=====

Entry from the Alexandria database: a relaxed HfZr2TaO crystal (GGA-PBE).

Results
**Energy relative to the elements, uncorrected**: -0.913 eV/atom
**Distance to the lowest polymorph of the same formula**: 84 meV per atom
**Total magnetization**: 0.00 μB/f.u.

Unit cell a=4.6151 b=4.6151 c=4.2236 alpha=90.00 beta=90.00 gamma=90.00
With the nearest neighbours (Å) after each atom.
Fractional coordinates of all 5 atoms:
Hf  0.0000  0.0000  0.0000  8 Zr 3.13, 4 Ta 3.26
Zr  0.0000  0.5000  0.5000  2 O 2.31
Zr  0.5000  0.0000  0.5000  2 O 2.31
Ta  0.5000  0.5000  0.0000  2 O 2.11
O  0.5000  0.5000  0.5000  2 Ta 2.11, 4 Zr 2.31

=====

Entry from the Alexandria database: a relaxed Tb3HfO crystal (GGA-PBE).

Results
**Energy relative to the elements, uncorrected**: -1.062 eV/atom
**Total magnetization**: 0.00 μB/f.u.

Unit cell a=4.8342 b=4.8342 c=4.8342 alpha=90.00 beta=90.00 gamma=90.00
With the nearest neighbours (Å) after each atom.
Fractional coordinates of all 5 atoms:
Tb  0.0000  0.0000  0.5000  2 O 2.42
Tb  0.0000  0.5000  0.0000  2 O 2.42
Tb  0.5000  0.0000  0.0000  2 O 2.42
Hf  0.5000  0.5000  0.5000  12 Tb 3.42
O  0.0000  0.0000  0.0000  6 Tb 2.42